VASP calculation (PBE) on crystalline TbPuSnAu at its relaxed geometry.

## Properties
* DOS(E_F): 10.60 states/eV/cell
* magnetization: 1.5455 μB/atom
* calculated volume: 103 Å³/cell
* energy of formation from the pure elements: -0.527 eV/atom

Geometry as POSCAR:
```
TbPuSnAu
1.0
-5.048 -1.470 -0.220
-1.536 -3.621 -3.495
-1.416 -4.798 1.632
Tb Au Sn Pu
1 1 1 1
Cartesian
-4.000 -4.945 -1.041 Tb
-2.000 -2.472 -0.521 Au
-6.000 -7.417 -1.562 Sn
0.000 0.000 0.000 Pu
```